[1]
VASP calculation (PBE-GGA) on AcTbSm5Y2 after structural relaxation.

Unit cell a=9.244 b=9.244 c=12.139 alpha=90.00 beta=90.00 gamma=143.27
Element x y z (fractional)
Ac (0.114, 0.886, 0.500)
Ac (0.886, 0.114, 0.000)
Tb (0.249, 0.751, 0.000)
Tb (0.751, 0.249, 0.500)
Sm (0.079, 0.921, 0.838)
Sm (0.080, 0.920, 0.163)
Sm (0.267, 0.733, 0.295)
Sm (0.268, 0.732, 0.705)
Sm (0.439, 0.561, 0.148)
Sm (0.561, 0.439, 0.648)
Sm (0.732, 0.268, 0.205)
Sm (0.733, 0.267, 0.795)
Sm (0.920, 0.080, 0.663)
Sm (0.921, 0.079, 0.338)
Y (0.387, 0.613, 0.499)
Y (0.438, 0.562, 0.851)
Y (0.562, 0.438, 0.351)
Y (0.613, 0.387, 0.999)

Output
ρ, g/cm3: 7.04
Energy, eV/cell: -89.0
Formation energy, eV/f.u.: 0.8
SG: No. 36
Magnetic moment, μB/cell: 0.00

***

[2]
VASP calculation (PBE-GGA) on AcTb2Sm6Y after structural relaxation.

Unit cell a=9.037 b=9.037 c=9.735 alpha=93.07 beta=93.07 gamma=118.08
Element x y z (fractional)
Ac (0.026, 0.974, 0.750)
Ac (0.974, 0.026, 0.250)
Tb (0.202, 0.315, 0.546)
Tb (0.315, 0.202, 0.046)
Tb (0.685, 0.798, 0.954)
Tb (0.798, 0.685, 0.454)
Sm (0.015, 0.558, 0.683)
Sm (0.127, 0.750, 0.055)
Sm (0.250, 0.873, 0.445)
Sm (0.289, 0.506, 0.881)
Sm (0.442, 0.985, 0.817)
Sm (0.494, 0.711, 0.619)
Sm (0.506, 0.289, 0.381)
Sm (0.558, 0.015, 0.183)
Sm (0.711, 0.494, 0.119)
Sm (0.750, 0.127, 0.555)
Sm (0.873, 0.250, 0.945)
Sm (0.985, 0.442, 0.317)
Y (0.411, 0.589, 0.250)
Y (0.589, 0.411, 0.750)

Output
ρ, g/cm3: 7.31
Energy, eV/cell: -93.9
Formation energy, eV/f.u.: 1.2
SG: No. 15
Magnetic moment, μB/cell: 0.00

***

no.,Fermi-level density of states (states/eV/atom),calculated volume (Å³ per atom)
1,1.5445,34.463
2,1.4210,34.885